i | DFT (PBE) results for a relaxed structure of Dy2HoMg4.

Geometry as POSCAR:
```
Dy2HoMg4
1.0
5.119 0.000 -1.632
-0.520 5.092 -1.632
-0.228 -0.253 8.129
Dy Ho Mg
2 1 4
direct
0.750 0.750 0.500
0.250 0.250 0.500
0.000 0.000 0.000
0.383 0.883 0.766
0.883 0.383 0.766
0.617 0.117 0.234
0.117 0.617 0.234
```

## Properties
**Total magnetic moment**: 0.4 Bohr magnetons per cell
**Space group**: I4/mmm (139)
**Crystal system**: tetragonal
**Density**: 4.7 g/cm3


ii | DFT (PBE) results for a relaxed structure of Dy2HoMg4.

Geometry as POSCAR:
```
Dy2HoMg4
1.0
5.409 0.000 0.000
0.000 5.963 0.000
0.000 -2.981 6.523
Dy Ho Mg
2 1 4
direct
0.500 0.132 0.264
0.500 0.868 0.736
0.000 0.500 0.000
0.500 0.618 0.236
0.000 0.740 0.480
0.500 0.382 0.764
0.000 0.260 0.520
```

## Properties
**Total magnetic moment**: 0.0 Bohr magnetons per cell
**Space group**: Cmmm (65)
**Crystal system**: orthorhombic
**Density**: 4.6 g/cm3


i is favored, and the nearest alternative lies 24.0 kJ/mol of atoms above it.


i | DFT (PBE) results for a relaxed structure of DyHo2Mg2.

Geometry as POSCAR:
```
DyHo2Mg2
1.0
-2.696 -2.504 0.446
3.209 -3.829 -2.099
6.166 -1.673 12.481
Dy Ho Mg
2 4 4
direct
0.848 0.750 0.696
0.152 0.250 0.304
0.044 0.750 0.088
0.956 0.250 0.912
0.237 0.750 0.475
0.763 0.250 0.525
0.639 0.750 0.280
0.361 0.250 0.720
0.446 0.750 0.892
0.554 0.250 0.108
```

## Properties
**Total magnetic moment**: 0.0 Bohr magnetons per cell
**Space group**: P2_1/m (11)
**Crystal system**: monoclinic
**Density**: 6.4 g/cm3


ii | DFT (PBE) results for a relaxed structure of DyHo2Mg2.

Geometry as POSCAR:
```
DyHo2Mg2
1.0
-2.232 3.773 1.087
-1.544 0.306 -4.233
-10.130 -10.240 5.363
Dy Ho Mg
2 4 4
direct
0.612 0.612 0.224
0.388 0.388 0.776
0.000 0.500 0.000
0.173 0.173 0.346
0.500 0.000 0.000
0.827 0.827 0.654
0.750 0.250 0.500
0.926 0.926 0.851
0.074 0.074 0.149
0.250 0.750 0.500
```

## Properties
**Total magnetic moment**: 0.0 Bohr magnetons per cell
**Space group**: I4/mmm (139)
**Crystal system**: tetragonal
**Density**: 5.9 g/cm3


i is favored, and the nearest alternative lies 35.8 kJ/mol of atoms above it.


i | DFT (PBE) results for a relaxed structure of Dy4Ho5Mg.

Geometry as POSCAR:
```
Dy4Ho5Mg
1.0
-4.388 -3.032 -1.991
-2.556 -5.231 5.462
-6.932 3.587 1.675
Dy Ho Mg
4 5 1
direct
0.461 0.321 0.679
0.782 0.679 0.679
0.140 0.321 0.321
0.461 0.679 0.321
0.766 0.372 0.000
0.137 0.000 0.628
0.766 0.000 0.372
0.137 0.628 0.000
0.670 0.000 0.000
0.191 0.000 0.000
```

## Properties
**Total magnetic moment**: 0.0 Bohr magnetons per cell
**Space group**: I4mm (107)
**Crystal system**: tetragonal
**Density**: 7.9 g/cm3


ii | DFT (PBE) results for a relaxed structure of Dy4Ho5Mg.

Geometry as POSCAR:
```
Dy4Ho5Mg
1.0
3.537 0.000 0.000
0.000 3.537 0.000
0.000 0.000 24.311
Dy Ho Mg
4 5 1
direct
0.000 0.000 0.192
0.000 0.000 0.397
0.000 0.000 0.603
0.000 0.000 0.808
0.500 0.500 0.091
0.500 0.500 0.295
0.500 0.500 0.500
0.500 0.500 0.705
0.500 0.500 0.909
0.000 0.000 0.000
```

## Properties
**Total magnetic moment**: 0.0 Bohr magnetons per cell
**Space group**: P4/mmm (123)
**Crystal system**: tetragonal
**Density**: 8.2 g/cm3


ii is favored, and the nearest alternative lies 20.2 kJ/mol of atoms above it.


i | DFT (PBE) results for a relaxed structure of Dy7Ho4Mg.

Geometry as POSCAR:
```
Dy7Ho4Mg
1.0
5.559 0.000 0.000
-2.779 4.814 0.000
0.000 0.000 13.863
Dy Ho Mg
7 4 1
direct
0.000 0.000 0.000
0.667 0.333 0.576
0.333 0.667 0.424
0.667 0.333 0.826
0.333 0.667 0.174
0.000 0.000 0.267
0.000 0.000 0.733
0.667 0.333 0.073
0.333 0.667 0.927
0.667 0.333 0.318
0.333 0.667 0.682
0.000 0.000 0.500
```

## Properties
**Total magnetic moment**: 0.0 Bohr magnetons per cell
**Space group**: P-3m1 (164)
**Crystal system**: trigonal
**Density**: 8.2 g/cm3


ii | DFT (PBE) results for a relaxed structure of Dy7Ho4Mg.

Geometry as POSCAR:
```
Dy7Ho4Mg
1.0
-5.191 -2.700 -2.418
-2.156 -4.848 -6.535
0.102 -11.585 2.384
Dy Ho Mg
7 4 1
direct
0.745 0.546 0.908
0.255 0.454 0.092
0.142 0.136 0.729
0.858 0.864 0.271
0.352 0.790 0.420
0.500 0.000 0.000
0.648 0.210 0.580
0.723 0.383 0.234
0.277 0.617 0.766
0.821 0.709 0.583
0.179 0.291 0.417
0.000 0.000 0.000
```

## Properties
**Total magnetic moment**: 0.0 Bohr magnetons per cell
**Space group**: C2/m (12)
**Crystal system**: monoclinic
**Density**: 8.0 g/cm3


i is favored, and the nearest alternative lies 2.1 kJ/mol of atoms above it.